(1)
# Dy2Er3Co2 | Alexandria via LeMat-Bulk | PBE | optimized geometry
data_Dy2Er3Co2
_cell_length_a 11.8929
_cell_length_b 3.6298
_cell_length_c 8.7942
_cell_angle_alpha 90.00
_cell_angle_beta 116.32
_cell_angle_gamma 90.00
_symmetry_space_group_name_H-M 'C 1 2/m 1'
_symmetry_Int_Tables_number 12
_symmetry_space_group_name_Hall '-C 2y'
loop_
_atom_site_label
_atom_site_fract_x
_atom_site_fract_y
_atom_site_fract_z
Dy1 0.1712 0.0000 0.3034
Er1 0.0000 0.5000 0.5000
Er2 0.1185 0.5000 0.9272
Co1 0.1776 0.0000 0.7409
# Volume = 340.3 Å³/cell



(2)
# Tl3ZnAu4 | Alexandria via LeMat-Bulk | PBE | optimized geometry
data_Tl3ZnAu4
_cell_length_a 5.7855
_cell_length_b 6.5087
_cell_length_c 7.2295
_cell_angle_alpha 112.57
_cell_angle_beta 90.35
_cell_angle_gamma 116.00
_symmetry_space_group_name_H-M 'P 1'
_symmetry_Int_Tables_number 1
_symmetry_space_group_name_Hall 'P 1'
loop_
_atom_site_label
_atom_site_fract_x
_atom_site_fract_y
_atom_site_fract_z
Tl1 0.0000 0.0000 0.0000
Tl2 0.2362 0.4724 0.6731
Tl3 0.7624 0.5273 0.3271
Zn1 0.4984 0.0000 0.5001
Au1 0.2584 0.5201 0.2764
Au2 0.4383 0.8748 0.1168
Au3 0.5614 0.1248 0.8834
Au4 0.7403 0.4797 0.7240
# Volume = 220.9 Å³/cell



(3)
# Ba2MoP | Alexandria via LeMat-Bulk | PBE | optimized geometry
data_Ba2MoP
_cell_length_a 4.6330
_cell_length_b 4.6330
_cell_length_c 26.7554
_cell_angle_alpha 90.00
_cell_angle_beta 90.00
_cell_angle_gamma 120.00
_symmetry_space_group_name_H-M 'R -3 m'
_symmetry_Int_Tables_number 166
_symmetry_space_group_name_Hall '-R 3 2"'
loop_
_atom_site_label
_atom_site_fract_x
_atom_site_fract_y
_atom_site_fract_z
Ba1 0.0000 0.0000 0.2311
Mo1 0.0000 0.0000 0.0000
P1 0.0000 0.0000 0.5000
# Volume = 497.4 Å³/cell



no.,calculated density (Mg/m³),energy relative to the elements (eV/f.u.)
1,9.22,-1.3
2,11.02,0.3
3,4.02,2.0